No. 1
Below is crystalline Ba2HfS3O at its relaxed geometry, with properties calculated at the PBE level.

The space group is Immm (No. 71) and the conventional cell measures 4.161, 5.058 and 16.358 Å, with angles of 90.00, 90.00 and 90.00 degrees. The distinct sites, in fractional coordinates, are Ba at (0.000, 0.000, 0.146), Hf at (0.000, 0.000, 0.500), S at (0.000, 0.000, 0.340), S at (0.000, 0.500, 0.500) and O at (0.000, 0.500, 0.000).

As for the total energy: -6.729 eV per atom. The value obtained for the density of states at the Fermi level is 0.00 states/eV/f.u.

No. 2
Below is crystalline BaHfS2O at its relaxed geometry, with properties calculated at the PBE level.

The space group is P4/mmm (No. 123) and the conventional cell measures 5.147, 5.147 and 4.083 Å, with angles of 90.00, 90.00 and 90.00 degrees. The distinct sites, in fractional coordinates, are Ba at (0.000, 0.000, 0.000), Hf at (0.500, 0.500, 0.500), S at (0.000, 0.500, 0.500) and O at (0.500, 0.500, 0.000).

As for the total energy: -7.348 eV per atom.

No. 3
Below is crystalline BaHfSO2 at its relaxed geometry, with properties calculated at the PBE level.

The space group is P4mm (No. 99) and the conventional cell measures 4.042, 4.042 and 6.164 Å, with angles of 90.00, 90.00 and 90.00 degrees. The distinct sites, in fractional coordinates, are Ba at (0.000, 0.000, 0.000), Hf at (0.500, 0.500, 0.390), S at (0.500, 0.500, 0.782) and O at (0.000, 0.500, 0.301).

As for the total energy: -7.993 eV per atom. The value obtained for the density of states at the Fermi level is 0.00 states/eV/f.u.

No. 4
Below is crystalline Ba2HfSb3O12 at its relaxed geometry, with properties calculated at the PBE level.

The space group is R-3m (No. 166, hexagonal axes) and the conventional cell measures 7.3496, 7.3496 and 18.0948 Å, with angles of 90.00, 90.00 and 120.00 degrees. The distinct sites, in fractional coordinates, are Ba at (0.0000, 0.0000, 0.1231), Hf at (0.0000, 0.0000, 0.5000), Sb at (0.0000, 0.5000, 0.0000), O at (0.0554, 0.5277, 0.1074) and O at (0.0595, 0.5298, 0.3561).

As for the total energy: -6.799 eV per atom. The value obtained for the density of states at the Fermi level is 8.32 states/eV/f.u.

No. 5
Below is crystalline BaHfSbO5 at its relaxed geometry, with properties calculated at the PBE level.

The space group is C2/c (No. 15) and the conventional cell measures 7.616, 9.967 and 8.029 Å, with angles of 90.00, 115.99 and 90.00 degrees. The distinct sites, in fractional coordinates, are Ba at (0.000, 0.180, 0.250), Hf at (0.000, 0.500, 0.000), Sb at (0.000, 0.192, 0.750), O at (0.000, 0.453, 0.250), O at (0.094, 0.299, 0.586) and O at (0.202, 0.060, 0.901).

As for the total energy: -7.567 eV per atom. The value obtained for the density of states at the Fermi level is 2.98 states/eV/f.u.

No. 6
Below is crystalline BaHf2SbO8 at its relaxed geometry, with properties calculated at the PBE level.

The space group is Cmmm (No. 65) and the conventional cell measures 6.851, 7.104 and 7.099 Å, with angles of 90.00, 90.00 and 90.00 degrees. The distinct sites, in fractional coordinates, are Ba at (0.000, 0.000, 0.000), Hf at (0.000, 0.500, 0.275), Sb at (0.000, 0.000, 0.500), O at (0.000, 0.300, 0.500), O at (0.000, 0.356, 0.000) and O at (0.205, 0.000, 0.303).

As for the total energy: -7.944 eV per atom.